Compound: P2OsSO
Source: the Alexandria database
Functional: PBE
Structure: optimized geometry

Properties
The value obtained for the relative energy among the computed polymorphs is 616.1 meV/atom. As for the electronic total energy: -5.36 eV per atom. The uncorrected formation energy is 871 meV per atom. Its density of states at the Fermi level is 0.23 states/eV/atom. The calculated density is 7.55 g cm⁻³.

```
data_P2OsSO
_symmetry_space_group_name_H-M 'P 4/m m m'
_symmetry_Int_Tables_number 123
_symmetry_space_group_name_Hall '-P 4 2'
_cell_length_a 3.9350
_cell_length_b 3.9350
_cell_length_c 4.2623
_cell_angle_alpha 90.00
_cell_angle_beta 90.00
_cell_angle_gamma 90.00
loop_
_atom_site_label
_atom_site_fract_x
_atom_site_fract_y
_atom_site_fract_z
P1 0.0000 0.5000 0.0000
Os1 0.0000 0.0000 0.5000
S1 0.5000 0.5000 0.5000
O1 0.5000 0.5000 0.0000
```